# SCAN TiCdF2, PBEsol geometry
# Energy above the lowest structure with this stoichiometry   224 meV per atom
# E   -15.29 eV/atom
data_TiCdF2
_chemical_formula_sum 'Ti4 Cd4 F8'
_space_group_name_H-M_alt 'I 41/a m d'
_space_group_IT_number 141
_cell_length_a 5.221
_cell_length_b 5.221
_cell_length_c 11.656
_cell_angle_alpha 90.00
_cell_angle_beta 90.00
_cell_angle_gamma 90.00
loop_
_space_group_symop_operation_xyz
'x,y,z'
'-x,-y,-z'
'-y+1/4,x+3/4,z+1/4'
'y+1/4,-x+3/4,-z+1/4'
'-x+1/2,-y,z+1/2'
'x+1/2,y,-z+1/2'
'y+1/4,-x+1/4,z+3/4'
'-y+1/4,x+1/4,-z+3/4'
'x,-y,-z'
'-x,y,z'
'-y+1/4,-x+1/4,-z+3/4'
'y+1/4,x+1/4,z+3/4'
'-x+1/2,y,-z+1/2'
'x+1/2,-y,z+1/2'
'y+1/4,x+3/4,-z+1/4'
'-y+1/4,-x+3/4,z+1/4'
'x+1/2,y+1/2,z+1/2'
'-x+1/2,-y+1/2,-z+1/2'
'-y+3/4,x+1/4,z+3/4'
'y+3/4,-x+1/4,-z+3/4'
'-x,-y+1/2,z'
'x,y+1/2,-z'
'y+3/4,-x+3/4,z+1/4'
'-y+3/4,x+3/4,-z+1/4'
'x+1/2,-y+1/2,-z+1/2'
'-x+1/2,y+1/2,z+1/2'
'-y+3/4,-x+3/4,-z+1/4'
'y+3/4,x+3/4,z+1/4'
'-x,y+1/2,-z'
'x,-y+1/2,z'
'y+3/4,x+1/4,-z+3/4'
'-y+3/4,-x+1/4,z+3/4'
loop_
_atom_site_label
_atom_site_type_symbol
_atom_site_fract_x
_atom_site_fract_y
_atom_site_fract_z
Ti1 Ti 0.000 0.250 0.375
Cd1 Cd 0.000 0.250 0.875
F1 F 0.000 0.000 0.500